Computed, not measured: a relaxed structure of Ga2Pt8Rh at the PBE level of DFT.

a b c (Å): 4.1256 6.6831 6.6831
angles (deg): 105.77 93.37 93.37
Last column: nearest neighbours and their distance in Å.
Positions (direct):
Rh 0.5000 0.0000 0.0000  12 Pt 2.62-2.90
Pt 0.9599 0.9541 0.6882  2 Ga 2.61-2.91, 7 Pt 2.77-2.87, 2 Rh 2.87-2.90
Pt 0.9599 0.6882 0.9541  2 Ga 2.61-2.91, 7 Pt 2.77-2.87, 2 Rh 2.87-2.90
Pt 0.4322 0.6675 0.6675  2 Ga 2.54, 1 Rh 2.67, 5 Pt 2.79-2.81
Pt 0.5000 0.2460 0.7540  2 Ga 2.45, 1 Rh 2.62
Pt 0.5000 0.7540 0.2460  2 Ga 2.45, 1 Rh 2.62
Pt 0.5678 0.3325 0.3325  2 Ga 2.54, 1 Rh 2.67, 5 Pt 2.79-2.81
Pt 0.0401 0.3118 0.0459  2 Ga 2.61-2.91, 7 Pt 2.77-2.87, 2 Rh 2.87-2.90
Pt 0.0401 0.0459 0.3118  2 Ga 2.61-2.91, 7 Pt 2.77-2.87, 2 Rh 2.87-2.90
Ga 0.0000 0.6292 0.3708  6 Pt 2.45-2.61
Ga 0.0000 0.3708 0.6292  6 Pt 2.45-2.61

formation enthalpy at 0 K = -0.161 eV per atom
crystal system = monoclinic
total magnetization = 0.00 μB/atom
final energy = -5.77 eV per atom
space-group type = C2/m (12)
ρ = 16965 kg/m³